# 1
Compound: Pu3Pd2Pt
Source: Alexandria
Functional: PBE-GGA
Structure: relaxed

Lattice parameters (Å, degrees): 3.5038 3.5038 10.6324 90.00 90.00 90.00
Last column: nearest neighbours and their distance in Å.
Fractional coordinates of all 6 atoms:
Pu 0.0000 0.0000 0.0000  8 Pd 3.04
Pu 0.0000 0.0000 0.3371  4 Pt 3.02, 4 Pd 3.07
Pu 0.0000 0.0000 0.6629  4 Pt 3.02, 4 Pd 3.07
Pd 0.5000 0.5000 0.1662  8 Pu 3.04-3.07
Pd 0.5000 0.5000 0.8338  8 Pu 3.04-3.07
Pt 0.5000 0.5000 0.5000  8 Pu 3.02

Computed properties:
total magnetization	2.7855	μB/atom
DOS(E_F)	28.106	states/eV per cell
ΔH_f (0 K)	-0.5185	eV/atom
V	130.5	Å³/cell
symmetry	No. 123

=====

# 2
Compound: Pu3PdPt
Source: Alexandria
Functional: PBE-GGA
Structure: relaxed

Lattice parameters (Å, degrees): 7.4016 7.4016 6.8230 102.96 102.96 36.37
Last column: nearest neighbours and their distance in Å.
Fractional coordinates of all 10 atoms:
Pu 0.0000 0.0000 0.0000  3 Pt 2.90-2.99, 3 Pd 2.92-2.97
Pu 0.1940 0.1940 0.4108  1 Pu 2.46
Pu 0.3363 0.3363 0.2587  1 Pu 2.46
Pu 0.5372 0.5372 0.6800  3 Pt 2.90-2.96, 3 Pd 2.90-3.00
Pu 0.7447 0.7447 0.0701  2 Pu 2.80, 2 Pt 2.92
Pu 0.7882 0.7882 0.5979  2 Pu 2.81, 2 Pt 2.94, 1 Pd 3.07
Pd 0.5648 0.5648 0.2726  7 Pu 2.90-3.19, 2 Pd 2.96
Pd 0.9643 0.9643 0.4052  7 Pu 2.92-3.22, 2 Pd 2.96
Pt 0.1674 0.1674 0.8202  1 Pt 2.77, 6 Pu 2.90-2.96
Pt 0.3672 0.3672 0.8509  1 Pt 2.77, 6 Pu 2.90-2.99

Computed properties:
total magnetization	1.0979	μB/atom
DOS(E_F)	44.643	states/eV per cell
ΔH_f (0 K)	-0.4162	eV/atom
V	215.4	Å³/cell
symmetry	No. 8

=====

# 3
Compound: Pu4Pd2Pt
Source: Alexandria
Functional: PBE-GGA
Structure: relaxed

Lattice parameters (Å, degrees): 7.5444 7.5444 7.5052 109.24 109.24 109.57
Last column: nearest neighbours and their distance in Å.
Fractional coordinates of all 14 atoms:
Pu 0.0011 0.9989 0.5000  4 Pd 2.91-3.20, 2 Pt 2.91-3.12
Pu 0.1240 0.6339 0.2753  2 Pt 2.90-3.14, 3 Pd 2.91-3.12
Pu 0.3420 0.4839 0.6244  2 Pt 2.89-3.14, 4 Pd 2.91-3.13
Pu 0.4839 0.3420 0.1244  2 Pt 2.89-3.14, 4 Pd 2.91-3.13
Pu 0.4865 0.8448 0.1361  2 Pt 2.86-3.08, 4 Pd 2.89-3.10
Pu 0.6339 0.1240 0.7753  2 Pt 2.90-3.14, 3 Pd 2.91-3.12
Pu 0.8448 0.4865 0.6361  2 Pt 2.86-3.08, 4 Pd 2.89-3.10
Pu 0.9989 0.0011 0.0000  4 Pd 2.91-3.20, 2 Pt 2.91-3.12
Pd 0.2375 0.8577 0.7597  8 Pu 2.89-3.13
Pd 0.6209 0.7360 0.5044  8 Pu 2.91-3.25
Pd 0.7360 0.6209 0.0044  8 Pu 2.91-3.25
Pd 0.8577 0.2375 0.2597  8 Pu 2.89-3.13
Pt 0.1165 0.3728 0.8879  8 Pu 2.86-3.14
Pt 0.3728 0.1165 0.3879  8 Pu 2.86-3.14

Computed properties:
total magnetization	1.6167	μB/atom
DOS(E_F)	80.336	states/eV per cell
ΔH_f (0 K)	-0.4089	eV/atom
V	330.3	Å³/cell
symmetry	No. 9

=====

# 4
Compound: PuPd7Pt2
Source: Alexandria
Functional: PBE-GGA
Structure: relaxed

Lattice parameters (Å, degrees): 7.3809 7.3809 4.5313 90.00 90.00 121.06
Last column: nearest neighbours and their distance in Å.
Fractional coordinates of all 10 atoms:
Pu 0.0000 0.0000 0.0000  2 Pd 2.64
Pd 0.0727 0.2934 0.5000  2 Pt 2.58-2.77, 3 Pd 2.66-2.84
Pd 0.2051 0.7949 0.0000  2 Pt 2.57, 1 Pu 2.64
Pd 0.2934 0.0727 0.5000  2 Pt 2.58-2.77, 3 Pd 2.66-2.84
Pd 0.5000 0.5000 0.5000  2 Pt 2.58, 4 Pd 2.70
Pd 0.7066 0.9273 0.5000  2 Pt 2.58-2.77, 3 Pd 2.66-2.84
Pd 0.7949 0.2051 0.0000  2 Pt 2.57, 1 Pu 2.64
Pd 0.9273 0.7066 0.5000  2 Pt 2.58-2.77, 3 Pd 2.66-2.84
Pt 0.2994 0.7006 0.5000  7 Pd 2.57-2.77
Pt 0.7006 0.2994 0.5000  7 Pd 2.57-2.77

Computed properties:
total magnetization	0.3747	μB/atom
DOS(E_F)	19.221	states/eV per cell
ΔH_f (0 K)	0.2100	eV/atom
V	211.5	Å³/cell
symmetry	No. 65

=====

# 5
Compound: PuPd2Pt6
Source: Alexandria
Functional: PBE-GGA
Structure: relaxed

Lattice parameters (Å, degrees): 8.1508 8.1508 2.7836 94.74 94.74 125.41
Last column: nearest neighbours and their distance in Å.
Fractional coordinates of all 9 atoms:
Pu 0.0000 0.0000 0.0000  2 Pu 2.78, 4 Pt 2.82, 4 Pd 2.87
Pd 0.1734 0.8266 0.5000  6 Pt 2.77-2.80, 2 Pd 2.78, 2 Pu 2.87
Pd 0.8266 0.1734 0.5000  6 Pt 2.77-2.80, 2 Pd 2.78, 2 Pu 2.87
Pt 0.1641 0.4920 0.1471  7 Pt 2.74-2.94, 3 Pd 2.77-2.80
Pt 0.3334 0.3334 0.6598  8 Pt 2.74-2.84, 2 Pu 2.82
Pt 0.4920 0.1641 0.1471  7 Pt 2.74-2.94, 3 Pd 2.77-2.80
Pt 0.5080 0.8359 0.8529  7 Pt 2.74-2.94, 3 Pd 2.77-2.80
Pt 0.6666 0.6666 0.3402  8 Pt 2.74-2.84, 2 Pu 2.82
Pt 0.8359 0.5080 0.8529  7 Pt 2.74-2.94, 3 Pd 2.77-2.80

Computed properties:
total magnetization	0.0047	μB/atom
DOS(E_F)	19.224	states/eV per cell
ΔH_f (0 K)	-0.0200	eV/atom
V	148.2	Å³/cell
symmetry	No. 12

=====

# 6
Compound: PuPdPt4
Source: Alexandria
Functional: PBE-GGA
Structure: relaxed

Lattice parameters (Å, degrees): 5.3369 5.3369 5.3369 60.00 60.00 60.00
Last column: nearest neighbours and their distance in Å.
Fractional coordinates of all 6 atoms:
Pu 0.0000 0.0000 0.0000  12 Pt 3.13, 4 Pd 3.27
Pd 0.2500 0.2500 0.2500  12 Pt 3.13, 4 Pu 3.27
Pt 0.1258 0.6247 0.6247  6 Pt 2.66-2.67
Pt 0.6247 0.1258 0.6247  6 Pt 2.66-2.67
Pt 0.6247 0.6247 0.1258  6 Pt 2.66-2.67
Pt 0.6247 0.6247 0.6247  6 Pt 2.66-2.67

Computed properties:
total magnetization	0.7491	μB/atom
DOS(E_F)	18.302	states/eV per cell
ΔH_f (0 K)	-0.5118	eV/atom
V	107.5	Å³/cell
symmetry	No. 216

=====

# 7
Compound: Pu5Pd2Pt2
Source: Alexandria
Functional: PBE-GGA
Structure: relaxed

Lattice parameters (Å, degrees): 8.2567 8.2567 7.6143 90.00 90.00 55.11
Last column: nearest neighbours and their distance in Å.
Fractional coordinates of all 18 atoms:
Pu 0.0000 0.0000 0.0000  4 Pt 2.99-3.00, 2 Pd 3.06
Pu 0.0385 0.6861 0.6698  3 Pd 2.92-3.04, 3 Pt 2.94-3.10
Pu 0.1861 0.5385 0.1698  3 Pd 2.92-3.04, 3 Pt 2.94-3.10
Pu 0.3139 0.9615 0.6698  3 Pd 2.92-3.04, 3 Pt 2.94-3.10
Pu 0.4615 0.8139 0.1698  3 Pd 2.92-3.04, 3 Pt 2.94-3.10
Pu 0.5000 0.5000 0.5000  4 Pt 2.99-3.00, 2 Pd 3.06
Pu 0.5385 0.1861 0.8302  3 Pd 2.92-3.04, 3 Pt 2.94-3.10
Pu 0.6861 0.0385 0.3302  3 Pd 2.92-3.04, 3 Pt 2.94-3.10
Pu 0.8139 0.4615 0.8302  3 Pd 2.92-3.04, 3 Pt 2.94-3.10
Pu 0.9615 0.3139 0.3302  3 Pd 2.92-3.04, 3 Pt 2.94-3.10
Pd 0.2090 0.2090 0.0000  7 Pu 2.92-3.06
Pd 0.2910 0.2910 0.5000  7 Pu 2.92-3.06
Pd 0.7090 0.7090 0.5000  7 Pu 2.92-3.06
Pd 0.7910 0.7910 0.0000  7 Pu 2.92-3.06
Pt 0.1286 0.8714 0.3704  1 Pt 2.78, 8 Pu 2.94-3.10
Pt 0.3714 0.6286 0.8704  1 Pt 2.78, 8 Pu 2.94-3.10
Pt 0.6286 0.3714 0.1296  1 Pt 2.78, 8 Pu 2.94-3.10
Pt 0.8714 0.1286 0.6296  1 Pt 2.78, 8 Pu 2.94-3.10

Computed properties:
total magnetization	3.1157	μB/atom
DOS(E_F)	85.903	states/eV per cell
ΔH_f (0 K)	-0.5175	eV/atom
V	425.8	Å³/cell
symmetry	No. 64

=====

# 8
Compound: Pu3Pd2Pt
Source: Alexandria
Functional: PBE-GGA
Structure: relaxed

Lattice parameters (Å, degrees): 7.8683 7.8683 3.5338 90.00 90.00 143.37
Last column: nearest neighbours and their distance in Å.
Fractional coordinates of all 6 atoms:
Pu 0.0000 0.0000 0.0000  4 Pt 3.04, 4 Pd 3.14
Pu 0.3385 0.6615 0.0000  2 Pt 2.99, 6 Pd 3.03-3.04
Pu 0.6615 0.3385 0.0000  2 Pt 2.99, 6 Pd 3.03-3.04
Pd 0.1738 0.8262 0.5000  8 Pu 3.03-3.14, 2 Pd 3.36
Pd 0.8262 0.1738 0.5000  8 Pu 3.03-3.14, 2 Pd 3.36
Pt 0.5000 0.5000 0.5000  8 Pu 2.99-3.04

Computed properties:
total magnetization	2.7848	μB/atom
DOS(E_F)	27.684	states/eV per cell
ΔH_f (0 K)	-0.5246	eV/atom
V	130.5	Å³/cell
symmetry	No. 65

=====

# 9
Compound: PuPdPt6
Source: Alexandria
Functional: PBE-GGA
Structure: relaxed

Lattice parameters (Å, degrees): 5.7363 5.7363 4.0567 90.00 90.00 90.00
Last column: nearest neighbours and their distance in Å.
Fractional coordinates of all 8 atoms:
Pu 0.0000 0.0000 0.0000  12 Pt 2.87-2.89
Pd 0.5000 0.5000 0.0000  12 Pt 2.85-2.87
Pt 0.0000 0.5000 0.0000  2 Pd 2.87, 2 Pu 2.87, 8 Pt 2.87
Pt 0.2540 0.2540 0.5000  8 Pt 2.82-2.91, 2 Pd 2.85, 2 Pu 2.89
Pt 0.2540 0.7460 0.5000  8 Pt 2.82-2.91, 2 Pd 2.85, 2 Pu 2.89
Pt 0.5000 0.0000 0.0000  2 Pd 2.87, 2 Pu 2.87, 8 Pt 2.87
Pt 0.7460 0.2540 0.5000  8 Pt 2.82-2.91, 2 Pd 2.85, 2 Pu 2.89
Pt 0.7460 0.7460 0.5000  8 Pt 2.82-2.91, 2 Pd 2.85, 2 Pu 2.89

Computed properties:
total magnetization	0.3904	μB/atom
DOS(E_F)	17.254	states/eV per cell
ΔH_f (0 K)	-0.3643	eV/atom
V	133.5	Å³/cell
symmetry	No. 123

=====

# 10
Compound: Pu2PdPt9
Source: Alexandria
Functional: PBE-GGA
Structure: relaxed

Lattice parameters (Å, degrees): 4.0983 4.0983 12.2407 90.00 90.00 90.00
Last column: nearest neighbours and their distance in Å.
Fractional coordinates of all 12 atoms:
Pu 0.0000 0.0000 0.1742  12 Pt 2.89-2.96
Pu 0.0000 0.0000 0.8258  12 Pt 2.89-2.96
Pd 0.0000 0.0000 0.5000  12 Pt 2.83-2.90
Pt 0.0000 0.5000 0.0000  8 Pt 2.90-2.92, 4 Pu 2.96
Pt 0.0000 0.5000 0.3406  2 Pd 2.83, 8 Pt 2.83-2.93, 2 Pu 2.89
Pt 0.0000 0.5000 0.6594  2 Pd 2.83, 8 Pt 2.83-2.93, 2 Pu 2.89
Pt 0.5000 0.0000 0.0000  8 Pt 2.90-2.92, 4 Pu 2.96
Pt 0.5000 0.0000 0.3406  2 Pd 2.83, 8 Pt 2.83-2.93, 2 Pu 2.89
Pt 0.5000 0.0000 0.6594  2 Pd 2.83, 8 Pt 2.83-2.93, 2 Pu 2.89
Pt 0.5000 0.5000 0.1700  4 Pu 2.90, 8 Pt 2.92-2.93
Pt 0.5000 0.5000 0.5000  8 Pt 2.83, 4 Pd 2.90
Pt 0.5000 0.5000 0.8300  4 Pu 2.90, 8 Pt 2.92-2.93

Computed properties:
total magnetization	0.6726	μB/atom
DOS(E_F)	33.391	states/eV per cell
ΔH_f (0 K)	-0.4591	eV/atom
V	205.6	Å³/cell
symmetry	No. 123

=====

# 11
Compound: Pu2Pd9Pt
Source: Alexandria
Functional: PBE-GGA
Structure: relaxed

Lattice parameters (Å, degrees): 4.1055 4.1055 12.1151 90.00 90.00 90.00
Last column: nearest neighbours and their distance in Å.
Fractional coordinates of all 12 atoms:
Pu 0.0000 0.0000 0.1756  12 Pd 2.86-2.96
Pu 0.0000 0.0000 0.8244  12 Pd 2.86-2.96
Pd 0.0000 0.5000 0.0000  8 Pd 2.90-2.91, 4 Pu 2.96
Pd 0.0000 0.5000 0.3406  8 Pd 2.82-2.91, 2 Pt 2.82, 2 Pu 2.86
Pd 0.0000 0.5000 0.6594  2 Pt 2.82, 8 Pd 2.82-2.91, 2 Pu 2.86
Pd 0.5000 0.0000 0.0000  8 Pd 2.90-2.91, 4 Pu 2.96
Pd 0.5000 0.0000 0.3406  8 Pd 2.82-2.91, 2 Pt 2.82, 2 Pu 2.86
Pd 0.5000 0.0000 0.6594  2 Pt 2.82, 8 Pd 2.82-2.91, 2 Pu 2.86
Pd 0.5000 0.5000 0.1699  4 Pu 2.90, 8 Pd 2.91
Pd 0.5000 0.5000 0.5000  8 Pd 2.82, 4 Pt 2.90
Pd 0.5000 0.5000 0.8301  4 Pu 2.90, 8 Pd 2.91
Pt 0.0000 0.0000 0.5000  12 Pd 2.82-2.90

Computed properties:
total magnetization	0.7550	μB/atom
DOS(E_F)	33.030	states/eV per cell
ΔH_f (0 K)	-0.3734	eV/atom
V	204.2	Å³/cell
symmetry	No. 123

=====

# 12
Compound: Pu4Pd3Pt2
Source: Alexandria
Functional: PBE-GGA
Structure: relaxed

Lattice parameters (Å, degrees): 4.8418 4.8418 9.2932 90.43 90.43 59.61
Last column: nearest neighbours and their distance in Å.
Fractional coordinates of all 9 atoms:
Pu 0.0008 0.0008 0.3387  1 Pu 3.00, 3 Pt 3.05-3.06, 7 Pd 3.10-3.27
Pu 0.3338 0.3338 0.1215  4 Pt 2.90-3.04, 3 Pd 3.01
Pu 0.6662 0.6662 0.8785  4 Pt 2.90-3.04, 3 Pd 3.01
Pu 0.9992 0.9992 0.6613  1 Pu 3.00, 3 Pt 3.05-3.06, 7 Pd 3.10-3.27
Pd 0.0000 0.0000 0.0000  8 Pu 3.01-3.15
Pd 0.3338 0.3338 0.4851  3 Pd 2.80, 1 Pt 2.87, 3 Pu 3.10-3.11
Pd 0.6662 0.6662 0.5149  3 Pd 2.80, 1 Pt 2.87, 3 Pu 3.10-3.11
Pt 0.3331 0.3331 0.7941  1 Pd 2.87, 7 Pu 2.90-3.06
Pt 0.6669 0.6669 0.2059  1 Pd 2.87, 7 Pu 2.90-3.06

Computed properties:
total magnetization	2.4015	μB/atom
DOS(E_F)	35.627	states/eV per cell
ΔH_f (0 K)	-0.5497	eV/atom
V	187.9	Å³/cell
symmetry	No. 12

=====

Look up the total magnetization of the seventh one. 3.1157 μB/atom

=====

Among the records above, which one has the lowest V? PuPdPt4